# 1
Zn2Cr2Si | PBE | relaxed

a b c (Å): 5.901 5.901 4.045
angles (deg): 90.00 90.00 90.00
Atoms (fractional coordinates):
Zn (0.166, 0.334, 0.000)
Zn (0.334, 0.834, 0.000)
Zn (0.666, 0.166, 0.000)
Zn (0.834, 0.666, 0.000)
Cr (0.130, 0.630, 0.500)
Cr (0.370, 0.130, 0.500)
Cr (0.630, 0.870, 0.500)
Cr (0.870, 0.370, 0.500)
Si (0.000, 0.000, 0.500)
Si (0.500, 0.500, 0.500)

Output
- Space group: P4/mbm, No. 127
- Size of the total moment: 0.00 μB per atom
- Electronic total energy: -5.285 eV per atom
- Energy above the most stable polymorph in this dataset: 0.0 meV/atom

# 2
SmGePd | PBE | relaxed

a b c (Å): 5.969 5.724 8.001
angles (deg): 90.00 114.31 90.00
Atoms (fractional coordinates):
Sm (0.206, 0.140, 0.375)
Sm (0.206, 0.360, 0.875)
Sm (0.794, 0.640, 0.125)
Sm (0.794, 0.860, 0.625)
Ge (0.195, 0.647, 0.522)
Ge (0.195, 0.853, 0.022)
Ge (0.805, 0.147, 0.978)
Ge (0.805, 0.353, 0.478)
Pd (0.413, 0.601, 0.298)
Pd (0.413, 0.899, 0.798)
Pd (0.587, 0.101, 0.202)
Pd (0.587, 0.399, 0.702)

Output
- Space group: P2_1/c, No. 14
- Size of the total moment: 0.00 μB per atom
- Electronic total energy: -5.724 eV per atom
- Energy of formation from the pure elements: -255 kJ/mol of formula units

Q: What is the formula in the second record?
A: SmGePd